ReSnSbTe2 | PBE | relaxed

Calculated values
Symmetry = No. 123
Formation energy (no corrections) = 160 kJ/mol of atoms
Energy above the lowest structure with this stoichiometry = 1.009 eV per atom
Uncorrected energy = -18.55 eV per cell

Cell: 5.6285 5.6285 5.6786 Å, 90.00 90.00 90.00°
Sites, in units of the cell vectors:
Re (0.5000, 0.5000, 0.5000)
Sn (0.0000, 0.0000, 0.0000)
Te (0.0000, 0.5000, 0.0000)
Te (0.5000, 0.0000, 0.0000)
Sb (0.0000, 0.0000, 0.5000)

***

ReSn2SbTe | PBE | relaxed

Calculated values
Symmetry = No. 123
Formation energy (no corrections) = 22 kJ/mol of atoms
Uncorrected energy = -26.58 eV per cell

Cell: 5.2666 5.1057 5.2666 Å, 90.00 90.00 90.00°
Sites, in units of the cell vectors:
Sn (0.5000, 0.0000, 0.0000)
Te (0.5000, 0.5000, 0.5000)
Sb (0.0000, 0.5000, 0.0000)
Sn (0.0000, 0.0000, 0.5000)
Re (0.0000, 0.0000, 0.0000)

***

ReSnSbTe2 | PBE | relaxed

Calculated values
Symmetry = No. 123
Formation energy (no corrections) = 63 kJ/mol of atoms
Energy above the lowest structure with this stoichiometry = 0.000 eV per atom
Uncorrected energy = -23.59 eV per cell

Cell: 5.3377 5.3377 5.1365 Å, 90.00 90.00 90.00°
Sites, in units of the cell vectors:
Sn (0.5000, 0.5000, 0.5000)
Sb (0.0000, 0.0000, 0.5000)
Re (0.0000, 0.0000, 0.0000)
Te (0.0000, 0.5000, 0.0000)
Te (0.5000, 0.0000, 0.0000)